Record 1
Material: KLiSi2
Method: DFT, GGA-PBEsol
State: optimized geometry

Geometry as POSCAR:
```
KLiSi2
1.0
4.839 0.000 0.000
2.420 4.191 0.000
2.420 1.397 3.951
Li Si K
1 2 1
Direct
0.250 0.250 0.250
0.000 0.000 0.000
0.750 0.750 0.750
0.500 0.500 0.500
```

## Properties
Mass density = 2.12 Mg/m³
Uncorrected energy = -13.01 eV for the cell shown
Formation energy without anion corrections = 0.395 eV/atom
Offset from the most stable computed form = 1.47 eV per formula unit


Record 2
Material: LaBiBr2F
Method: DFT, GGA-PBEsol
State: optimized geometry

Geometry as POSCAR:
```
LaBiBr2F
1.0
5.574 0.000 0.000
0.000 5.574 0.000
0.000 0.000 6.280
Bi La Br F
1 1 2 1
Direct
0.000 0.000 0.000
0.000 0.000 0.500
0.000 0.500 0.000
0.500 0.000 0.000
0.500 0.500 0.500
```

## Properties
Mass density = 4.48 Mg/m³
Uncorrected energy = -18.27 eV for the cell shown
Formation energy without anion corrections = -0.595 eV/atom


Record 3
Material: Zr2Cu2Pd
Method: DFT, GGA-PBEsol
State: optimized geometry

Geometry as POSCAR:
```
Zr2Cu2Pd
1.0
-3.104 -1.565 -0.355
3.031 -6.106 0.427
-0.811 0.072 6.781
Pd Cu Zr
2 4 4
Direct
0.000 0.500 0.500
0.000 0.000 0.000
0.000 0.625 0.125
0.000 0.875 0.625
0.000 0.375 0.875
0.000 0.125 0.375
0.500 0.675 0.825
0.500 0.175 0.675
0.500 0.325 0.175
0.500 0.825 0.325
```

## Properties
Mass density = 8.47 Mg/m³
Uncorrected energy = -68.74 eV for the cell shown
DFT formation energy = -0.312 eV/atom